1.
AcPm3Sb4 | GGA-PBE | relaxed

Geometry as POSCAR:
```
AcPm3Sb4
1.0
-3.8154 2.2861 -1.0692
-4.3279 -5.4657 3.7576
2.0056 5.7274 5.0890
Ac Pm Sb
1 3 4
Cartesian
-1.9077 1.1431 -0.5346
-3.0689 1.2739 3.8887
1.0028 2.8637 2.5445
-2.1639 -2.7329 1.8788
-4.6182 -1.4642 3.5630
-1.5195 4.0120 4.2144
-1.7160 0.1934 6.5370
-0.6063 0.0683 2.3097
```

* total magnetization: 0.0 μB/f.u.
* uncorrected energy: -5.53 eV/atom
* ΔE_f (raw): -113.40 kJ per mole of atoms
* density: 7.051 g/cm3
* energy above the most stable polymorph in this dataset: 0.0000 eV per atom
* SG: Cmmm
* DOS at the Fermi energy: 0.889 states/eV per cell

=====

2.
AcPmSb | GGA-PBE | relaxed

Geometry as POSCAR:
```
AcPmSb
1.0
-4.6749 -2.7077 0.0759
-1.2828 -3.0563 4.2668
-3.9614 1.5424 3.3347
Pm Sb Ac
1 1 1
Cartesian
0.0000 0.0000 0.0000
-2.4798 -1.0554 1.9193
-4.9595 -2.1108 3.8387
```

* total magnetization: 0.0 μB/f.u.
* uncorrected energy: -4.89 eV/atom
* ΔE_f (raw): -54.35 kJ per mole of atoms
* density: 7.352 g/cm3
* energy above the most stable polymorph in this dataset: 0.2444 eV per atom
* SG: F-43m
* DOS at the Fermi energy: 2.844 states/eV per cell

=====

3.
AcPmSb2 | GGA-PBE | relaxed

Geometry as POSCAR:
```
AcPmSb2
1.0
-3.6346 -0.1329 -2.8438
0.3930 -3.1087 3.3907
-7.7133 9.3032 9.4233
Sb Pm Ac
4 2 2
Cartesian
-1.8402 -1.0425 2.4007
-7.0394 4.6010 5.0342
-3.9155 1.4606 4.9361
-9.1147 7.1041 7.5696
-3.8567 4.6516 4.7117
0.0000 0.0000 0.0000
-6.7345 4.8607 8.3801
-4.2204 1.2010 1.5902
```

* total magnetization: 0.0 μB/f.u.
* uncorrected energy: -5.43 eV/atom
* ΔE_f (raw): -111.18 kJ per mole of atoms
* density: 7.226 g/cm3
* energy above the most stable polymorph in this dataset: 0.0358 eV per atom
* SG: P6_3/mmc
* DOS at the Fermi energy: 1.046 states/eV per cell